A geometry-optimized DyFeP2Rh structure. Source: Alexandria via LeMat-Bulk, functional PBE.

Unit cell a=5.559 b=5.559 c=5.559 alpha=138.84 beta=138.84 gamma=59.62
Positions (direct):
Dy  0.000  0.000  0.000
Fe  0.750  0.250  0.500
P  0.380  0.380  0.000
P  0.620  0.620  0.000
Rh  0.250  0.750  0.500

Computed properties:
Calculated density in g/cm3: 8.64
Fermi-level density of states in states/eV/f.u.: 2.223
SG: I-4m2 (119)
Formation enthalpy at 0 K in kJ/mol of formula units: -483